Here is a relaxed RbTl2I2 crystal from the Alexandria database. Energies are from PBE.

Cell and atoms, written as CIF:
```
data_RbTl2I2
_chemical_formula_sum 'Rb1 Tl2 I2'
_cell_length_a 4.6347
_cell_length_b 4.6347
_cell_length_c 10.4613
_cell_angle_alpha 77.20
_cell_angle_beta 77.20
_cell_angle_gamma 90.00
_symmetry_space_group_name_H-M 'P 1'
_symmetry_Int_Tables_number 1
_symmetry_space_group_name_Hall 'P 1'
loop_
_atom_site_label
_atom_site_type_symbol
_atom_site_fract_x
_atom_site_fract_y
_atom_site_fract_z
I1 I 0.6051 0.6051 0.7898
I2 I 0.3949 0.3949 0.2102
Tl1 Tl 0.7500 0.2500 0.5000
Tl2 Tl 0.2500 0.7500 0.5000
Rb1 Rb 0.0000 0.0000 0.0000
```

Computed properties:
M_tot: 0.0 μB/f.u.
Space group: I4/mmm
Formation energy from raw total energies: -0.740 eV per atom